No. 1
Cs2ZrTlAu GGA-PBE optimized geometry; raw total energy = -2.374 eV/atom; spin magnetization = 3.41 μB per formula unit
1.0
-0.441 -4.731 4.702
0.263 -3.926 -3.925
6.663 -0.089 0.535
Au Tl Zr Cs
1 1 1 2
Direct
0.000 0.000 0.000 Au
0.000 0.500 0.000 Tl
0.500 0.500 0.500 Zr
0.500 0.000 0.000 Cs
0.000 0.000 0.500 Cs

=====

No. 2
CsTmAu2 GGA-PBE optimized geometry; raw total energy = -3.496 eV/atom; spin magnetization = 0.00 μB per formula unit
1.0
3.735 0.000 0.000
0.000 3.735 0.000
0.000 0.000 8.543
Tm Au Cs
1 2 1
Direct
0.500 0.500 0.000 Tm
0.000 0.000 0.171 Au
0.000 0.000 0.829 Au
0.500 0.500 0.500 Cs

=====

No. 3
Cs3VAu GGA-PBE optimized geometry; raw total energy = -2.343 eV/atom; spin magnetization = 4.95 μB per formula unit
1.0
6.879 0.000 0.000
0.000 6.879 0.000
0.000 0.000 6.879
Cs V Au
3 1 1
Direct
0.500 0.000 0.000 Cs
0.000 0.500 0.000 Cs
0.000 0.000 0.500 Cs
0.500 0.500 0.500 V
0.000 0.000 0.000 Au

=====

Energy relative to the elements for every record listed, in sequence, given in eV/atom: 0.81; -0.53; 0.65.